# 1
A plane-wave DFT calculation with PBE was carried out for CaPtCl4 after structural relaxation.

Results
The magnetic moment is 2.2 μB per formula unit. The density of states at the Fermi level is 29.558 states/eV/cell. The formation energy without anion corrections is 0.153 eV per atom.

abc: 8.2533 8.2533 8.2533
angles: 90.00 90.00 90.00
Closest atoms and distances in Å follow each position.
Space group F-43m (No. 216)
Unique sites:
Ca: 0.0000 0.0000 0.0000 x4  12 Cl 3.42, 4 Pt 3.57
Pt: 0.2500 0.2500 0.2500 x4  12 Cl 3.42, 4 Ca 3.57
Cl: 0.1249 0.1249 0.6249 x16  6 Cl 2.91-2.92

=====

# 2
A plane-wave DFT calculation with PBE was carried out for CaPtCl5 after structural relaxation.

Results
The magnetic moment is 0.0 μB per formula unit. The density of states at the Fermi level is 2.653 states/eV/cell. The formation energy without anion corrections is -1.229 eV per atom.

abc: 9.1476 9.4056 9.3946
angles: 90.00 110.88 90.00
Closest atoms and distances in Å follow each position.
Space group C2/c (No. 15)
Unique sites:
Ca: 0.0000 0.0582 0.2500 x4  5 Cl 2.77-2.80
Pt: 0.2500 0.2500 0.0000 x4  4 Cl 2.33-2.35
Cl: 0.0000 0.2363 0.7500 x4  2 Pt 2.63, 1 Ca 2.77
Cl: 0.0859 0.3033 0.1336 x8  1 Pt 2.33
Cl: 0.2125 0.0083 0.0399 x8  1 Pt 2.35

=====

# 3
A plane-wave DFT calculation with PBE was carried out for CaPtCl2 after structural relaxation.

Results
The magnetic moment is 0.0 μB per formula unit. The density of states at the Fermi level is 0.000 states/eV/cell. Its polymorph energy (0 for the lowest one) is 47 meV per atom. The formation energy without anion corrections is -1.015 eV per atom.

abc: 4.5547 4.5547 19.5993
angles: 90.00 90.00 120.00
Closest atoms and distances in Å follow each position.
Space group R-3m (No. 166, hexagonal axes)
Unique sites:
Ca: 0.0000 0.0000 0.0000 x3  6 Cl 2.82
Pt: 0.0000 0.0000 0.5000 x3  2 Cl 2.24
Cl: 0.0000 0.0000 0.3856 x6  1 Pt 2.24